No. 1
Here is a relaxed TiNbN crystal from the Alexandria database. Energies are from PBE.

Calculated values
- DOS(E_F) (states/eV/cell) = 6.01
- raw formation energy (eV per formula unit) = -0.8
- total DFT energy (no corrections) (eV/atom) = -9.03

The structure in CIF format:
```
data_TiNbN
_chemical_formula_sum 'Ti4 Nb4 N4'
_cell_length_a 5.354
_cell_length_b 5.354
_cell_length_c 5.354
_cell_angle_alpha 90.00
_cell_angle_beta 90.00
_cell_angle_gamma 90.00
_space_group_name_H-M_alt 'F -4 3 m'
_space_group_IT_number 216
_space_group_name_Hall 'F -4 2 3'
loop_
_atom_site_label
_atom_site_type_symbol
_atom_site_fract_x
_atom_site_fract_y
_atom_site_fract_z
_atom_site_occupancy
Ti1 Ti 0.000 0.000 0.000 1
Nb1 Nb 0.000 0.000 0.500 1
N1 N 0.250 0.250 0.250 1
```


No. 2
Here is a relaxed SrTlIr2 crystal from the Alexandria database. Energies are from PBE.

Calculated values
- energy of formation (meV per atom) = 415
- DOS(E_F) (states/eV/cell) = 1.95
- offset from the most stable computed form (eV per atom) = 0.340
- total DFT energy (no corrections) (eV/atom) = -5.03

The structure in CIF format:
```
data_SrTlIr2
_chemical_formula_sum 'Sr1 Tl1 Ir2'
_cell_length_a 3.051
_cell_length_b 4.726
_cell_length_c 6.034
_cell_angle_alpha 90.00
_cell_angle_beta 100.95
_cell_angle_gamma 90.00
_space_group_name_H-M_alt 'P 1 2/m 1'
_space_group_IT_number 10
loop_
_space_group_symop_operation_xyz
'x,y,z'
'-x,-y,-z'
'-x,y,-z'
'x,-y,z'
loop_
_atom_site_label
_atom_site_type_symbol
_atom_site_fract_x
_atom_site_fract_y
_atom_site_fract_z
_atom_site_occupancy
Sr1 Sr 0.000 0.000 0.000 1
Tl1 Tl 0.500 0.000 0.500 1
Ir1 Ir 0.326 0.500 0.695 1
```


No. 3
Here is a relaxed CrB2P crystal from the Alexandria database. Energies are from PBE.

Calculated values
- energy of formation (meV per atom) = 629
- DOS(E_F) (states/eV/cell) = 13.93
- total DFT energy (no corrections) (eV/atom) = -6.47

The structure in CIF format:
```
data_CrB2P
_chemical_formula_sum 'Cr4 B8 P4'
_cell_length_a 5.538
_cell_length_b 5.538
_cell_length_c 5.088
_cell_angle_alpha 90.00
_cell_angle_beta 90.00
_cell_angle_gamma 90.00
_space_group_name_H-M_alt 'I -4 2 d'
_space_group_IT_number 122
_space_group_name_Hall 'I -4 2bw'
loop_
_atom_site_label
_atom_site_type_symbol
_atom_site_fract_x
_atom_site_fract_y
_atom_site_fract_z
_atom_site_occupancy
Cr1 Cr 0.000 0.000 0.000 1
B1 B 0.209 0.250 0.625 1
P1 P 0.000 0.000 0.500 1
```


No. 4
Here is a relaxed HIrSe3 crystal from the Alexandria database. Energies are from PBE.

Calculated values
- DOS(E_F) (states/eV/cell) = 5.82
- offset from the most stable computed form (eV per atom) = 1.120
- total DFT energy (no corrections) (eV/atom) = -3.55

The structure in CIF format:
```
data_HIrSe3
_chemical_formula_sum 'H1 Ir1 Se3'
_cell_length_a 4.951
_cell_length_b 4.951
_cell_length_c 4.951
_cell_angle_alpha 90.00
_cell_angle_beta 90.00
_cell_angle_gamma 90.00
_space_group_name_H-M_alt 'P m -3 m'
_space_group_IT_number 221
_space_group_name_Hall '-P 4 2 3'
loop_
_atom_site_label
_atom_site_type_symbol
_atom_site_fract_x
_atom_site_fract_y
_atom_site_fract_z
_atom_site_occupancy
H1 H 0.000 0.000 0.000 1
Ir1 Ir 0.500 0.500 0.500 1
Se1 Se 0.000 0.500 0.500 1
```